(1)
Pr2GdNi2B2N3: relaxed, GGA-PBE.

Uncorrected energy: -7.4299 eV/atom
Spin magnetization: 0.00 μB per formula unit
Mass density: 7.781 g/cm³

Cell: 10.425 10.425 10.425 Å, 160.01 160.01 28.42°
Fractional coordinates of all 10 atoms:
Pr: 0.125 0.125 0.000
Pr: 0.875 0.875 0.000
Gd: 0.500 0.500 0.000
Ni: 0.250 0.750 0.500
Ni: 0.750 0.250 0.500
B: 0.308 0.308 0.000
B: 0.692 0.692 0.000
N: 0.000 0.000 0.000
N: 0.380 0.380 0.000
N: 0.620 0.620 0.000

---

(2)
Mg3Sc2Zn3: relaxed, GGA-PBE.

Uncorrected energy: -2.7826 eV/atom
Spin magnetization: 0.00 μB per formula unit
Mass density: 3.878 g/cm³

Cell: 6.174 6.174 4.658 Å, 90.00 90.00 120.00°
Fractional coordinates of all 8 atoms:
Mg: 0.012 0.506 0.000
Mg: 0.494 0.506 0.000
Mg: 0.494 0.988 0.000
Sc: 0.000 0.000 0.000
Sc: 0.667 0.333 0.500
Zn: 0.166 0.331 0.500
Zn: 0.166 0.834 0.500
Zn: 0.669 0.834 0.500

---

(3)
Na2CuH6Pd: relaxed, GGA-PBE.

Uncorrected energy: -3.3257 eV/atom
Mass density: 4.151 g/cm³

Cell: 5.008 5.008 5.008 Å, 60.00 60.00 60.00°
Fractional coordinates of all 10 atoms:
Na: 0.250 0.250 0.250
Na: 0.750 0.750 0.750
Cu: 0.000 0.000 0.000
H: 0.252 0.252 0.748
H: 0.252 0.748 0.252
H: 0.252 0.748 0.748
H: 0.748 0.252 0.252
H: 0.748 0.252 0.748
H: 0.748 0.748 0.252
Pd: 0.500 0.500 0.500

---

(4)
SmFeAg: relaxed, GGA-PBE.

Uncorrected energy: -4.4505 eV/atom
Spin magnetization: 2.35 μB per formula unit
Formation enthalpy at 0 K: 2.5 eV per formula unit
Mass density: 6.744 g/cm³

Cell: 4.782 4.782 4.782 Å, 60.00 60.00 60.00°
Fractional coordinates of all 3 atoms:
Sm: 0.000 0.000 0.000
Fe: 0.250 0.250 0.250
Ag: 0.750 0.750 0.750

---

What is the mass density in the first record? 7.781 g/cm³

---

Please write out number 1 again, unchanged.
Pr2GdNi2B2N3: relaxed, GGA-PBE.

Uncorrected energy: -7.4299 eV/atom
Spin magnetization: 0.00 μB per formula unit
Mass density: 7.781 g/cm³

Cell: 10.425 10.425 10.425 Å, 160.01 160.01 28.42°
Fractional coordinates of all 10 atoms:
Pr: 0.125 0.125 0.000
Pr: 0.875 0.875 0.000
Gd: 0.500 0.500 0.000
Ni: 0.250 0.750 0.500
Ni: 0.750 0.250 0.500
B: 0.308 0.308 0.000
B: 0.692 0.692 0.000
N: 0.000 0.000 0.000
N: 0.380 0.380 0.000
N: 0.620 0.620 0.000

---

Look up the uncorrected energy of the second one. -2.7826 eV/atom